Record 1
Density functional theory data (PBE-GGA) for a relaxed structure of DyInPd14.

The structure belongs to space group P4/mmm (No. 123); the cell edges are 5.711, 5.711 and 7.950 Å and the angles 90.00°, 90.00° and 90.00°. The distinct sites, in fractional coordinates, are Dy at (0.000, 0.000, 0.000), In at (0.500, 0.500, 0.000), Pd at (0.000, 0.000, 0.500), Pd at (0.000, 0.500, 0.000), Pd at (0.000, 0.500, 0.500), Pd at (0.251, 0.251, 0.255) and Pd at (0.500, 0.500, 0.500).

Its density of states at the Fermi level is 26.69 states/eV/f.u. The formation energy comes out at -0.310 eV per atom.

---

Record 2
Density functional theory data (PBE-GGA) for a relaxed structure of BeSb2Au.

The structure belongs to space group F-43m (No. 216); the cell edges are 7.012, 7.012 and 7.012 Å and the angles 90.00°, 90.00° and 90.00°. The distinct sites, in fractional coordinates, are Be at (0.000, 0.000, 0.000), Sb at (0.000, 0.000, 0.500), Sb at (0.250, 0.250, 0.250) and Au at (0.250, 0.250, 0.750).

The calculation puts the total energy at -51.9 eV per cell. Its density of states at the Fermi level is 1.43 states/eV/f.u.

---

What total magnetic moment values result from the calculations? In sequence: 0.00 0.00 μB per formula unit.